Material: ZrNpW
Method: DFT, PBE-GGA
State: relaxed

The structure in POSCAR format:
```
ZrNpW
1.0
6.493 0.000 0.000
0.000 6.493 0.000
0.000 0.000 6.493
Zr Np W
4 4 4
Direct
0.000 0.000 0.000
0.000 0.500 0.500
0.500 0.000 0.500
0.500 0.500 0.000
0.000 0.000 0.500
0.000 0.500 0.000
0.500 0.000 0.000
0.500 0.500 0.500
0.250 0.250 0.250
0.250 0.750 0.750
0.750 0.250 0.750
0.750 0.750 0.250
```

Values from the calculation:
Its space group is F-43m (216). As for the formation energy from the elements: 0.7161 eV per atom. For the total moment, the calculation gives 12.2 μB/cell. As for the uncorrected energy: -10.710 eV/atom.